[1]
Entry from the Alexandria database: a relaxed structure of Y2Ga2Si (PBE).

Values from the calculation:
The formation energy (no corrections) is -0.576 eV per atom. The volume comes out at 21.29 Å³/atom. The excess energy over the best structure of this formula in the dataset is 0.096 eV/atom. The value obtained for the total energy is -5.46 eV per atom. Its space group is P4/mbm (127).

a = 6.9288 Å, b = 6.9288 Å, c = 4.4351 Å
α = 90.00°, β = 90.00°, γ = 90.00°
Sites, in units of the cell vectors:
Y 0.1738 0.3262 0.0000
Y 0.3262 0.8262 0.0000
Y 0.6738 0.1738 0.0000
Y 0.8262 0.6738 0.0000
Ga 0.1300 0.6300 0.5000
Ga 0.3700 0.1300 0.5000
Ga 0.6300 0.8700 0.5000
Ga 0.8700 0.3700 0.5000
Si 0.0000 0.0000 0.5000
Si 0.5000 0.5000 0.5000

[2]
Entry from the Alexandria database: a relaxed structure of FeWC2 (PBE).

Values from the calculation:
The volume comes out at 11.36 Å³/atom. As for the formation energy: 2.3 eV per formula unit. The excess energy over the best structure of this formula in the dataset is 0.000 eV/atom. The value obtained for the total energy is -9.39 eV per atom. Its space group is I-42d (122).

a = 4.4470 Å, b = 4.4470 Å, c = 9.1922 Å
α = 90.00°, β = 90.00°, γ = 90.00°
Sites, in units of the cell vectors:
Fe 0.0000 0.0000 0.0000
Fe 0.0000 0.5000 0.2500
Fe 0.5000 0.0000 0.7500
Fe 0.5000 0.5000 0.5000
W 0.0000 0.0000 0.5000
W 0.0000 0.5000 0.7500
W 0.5000 0.0000 0.2500
W 0.5000 0.5000 0.0000
C 0.2204 0.2500 0.1250
C 0.2500 0.7204 0.3750
C 0.2500 0.7796 0.8750
C 0.2796 0.2500 0.6250
C 0.7204 0.7500 0.6250
C 0.7500 0.2204 0.8750
C 0.7500 0.2796 0.3750
C 0.7796 0.7500 0.1250

[3]
Entry from the Alexandria database: a relaxed structure of K12Ag3Se5 (PBE).

Values from the calculation:
The formation energy (no corrections) is -0.555 eV per atom. The volume comes out at 49.40 Å³/atom. The value obtained for the total energy is -2.51 eV per atom. Its space group is Ia-3d (230).

a = 17.2504 Å, b = 17.2504 Å, c = 17.2504 Å
α = 109.47°, β = 109.47°, γ = 109.47°
Sites, in units of the cell vectors:
K 0.0302 0.2059 0.1131
K 0.0302 0.3243 0.9170
K 0.0830 0.6131 0.4072
K 0.0830 0.9698 0.6757
K 0.0928 0.7059 0.6757
K 0.0928 0.8869 0.4170
K 0.1131 0.0302 0.2059
K 0.1131 0.5830 0.9072
K 0.1757 0.2059 0.5928
K 0.1757 0.4698 0.5830
K 0.2059 0.1131 0.0302
K 0.2059 0.5928 0.1757
K 0.2941 0.3243 0.9072
K 0.2941 0.4698 0.3869
K 0.3243 0.9072 0.2941
K 0.3243 0.9170 0.0302
K 0.3869 0.2941 0.4698
K 0.3869 0.5928 0.9170
K 0.4072 0.0830 0.6131
K 0.4072 0.8243 0.7941
K 0.4170 0.0928 0.8869
K 0.4170 0.8243 0.5302
K 0.4698 0.3869 0.2941
K 0.4698 0.5830 0.1757
K 0.5302 0.4170 0.8243
K 0.5302 0.6131 0.7059
K 0.5830 0.1757 0.4698
K 0.5830 0.9072 0.1131
K 0.5928 0.1757 0.2059
K 0.5928 0.9170 0.3869
K 0.6131 0.4072 0.0830
K 0.6131 0.7059 0.5302
K 0.6757 0.0830 0.9698
K 0.6757 0.0928 0.7059
K 0.7059 0.5302 0.6131
K 0.7059 0.6757 0.0928
K 0.7941 0.4072 0.8243
K 0.7941 0.8869 0.9698
K 0.8243 0.5302 0.4170
K 0.8243 0.7941 0.4072
K 0.8869 0.4170 0.0928
K 0.8869 0.9698 0.7941
K 0.9072 0.1131 0.5830
K 0.9072 0.2941 0.3243
K 0.9170 0.0302 0.3243
K 0.9170 0.3869 0.5928
K 0.9698 0.6757 0.0830
K 0.9698 0.7941 0.8869
Ag 0.1250 0.2500 0.3750
Ag 0.1250 0.3750 0.7500
Ag 0.2500 0.3750 0.1250
Ag 0.2500 0.8750 0.6250
Ag 0.3750 0.1250 0.2500
Ag 0.3750 0.7500 0.1250
Ag 0.6250 0.2500 0.8750
Ag 0.6250 0.8750 0.7500
Ag 0.7500 0.1250 0.3750
Ag 0.7500 0.6250 0.8750
Ag 0.8750 0.6250 0.2500
Ag 0.8750 0.7500 0.6250
Se 0.0000 0.0000 0.0000
Se 0.0000 0.0000 0.5000
Se 0.0000 0.5000 0.0000
Se 0.0000 0.5000 0.5000
Se 0.1250 0.7500 0.8750
Se 0.1250 0.8750 0.2500
Se 0.2500 0.1250 0.8750
Se 0.2500 0.6250 0.3750
Se 0.3750 0.2500 0.6250
Se 0.3750 0.6250 0.7500
Se 0.5000 0.0000 0.0000
Se 0.5000 0.0000 0.5000
Se 0.5000 0.5000 0.0000
Se 0.5000 0.5000 0.5000
Se 0.6250 0.3750 0.2500
Se 0.6250 0.7500 0.3750
Se 0.7500 0.3750 0.6250
Se 0.7500 0.8750 0.1250
Se 0.8750 0.1250 0.7500
Se 0.8750 0.2500 0.1250

[4]
Entry from the Alexandria database: a relaxed structure of Ho2Zn2CuNi5 (PBE).

Values from the calculation:
The volume comes out at 14.82 Å³/atom. As for the formation energy: -2.1 eV per formula unit. The value obtained for the total energy is -4.69 eV per atom. Its space group is P4/mbm (127).

a = 9.1211 Å, b = 9.1211 Å, c = 3.5620 Å
α = 90.00°, β = 90.00°, γ = 90.00°
Sites, in units of the cell vectors:
Ho 0.1787 0.3213 0.0000
Ho 0.3213 0.8213 0.0000
Ho 0.6787 0.1787 0.0000
Ho 0.8213 0.6787 0.0000
Zn 0.1194 0.6194 0.0000
Zn 0.3806 0.1194 0.0000
Zn 0.6194 0.8806 0.0000
Zn 0.8806 0.3806 0.0000
Cu 0.0000 0.0000 0.0000
Cu 0.5000 0.5000 0.0000
Ni 0.0000 0.5000 0.5000
Ni 0.0582 0.8012 0.5000
Ni 0.1988 0.0582 0.5000
Ni 0.3012 0.5582 0.5000
Ni 0.4418 0.3012 0.5000
Ni 0.5000 0.0000 0.5000
Ni 0.5582 0.6988 0.5000
Ni 0.6988 0.4418 0.5000
Ni 0.8012 0.9418 0.5000
Ni 0.9418 0.1988 0.5000